(1)
# Tm6MgCo2

A relaxed structure of Tm6MgCo2 (GGA-PBE, Alexandria).

a b c (Å): 8.265 8.265 8.265
angles (deg): 106.21 112.45 109.81
Fractional coordinates of all 18 atoms:
Tm 0.531 0.816 0.715
Tm 0.205 0.442 0.237
Co 0.500 0.115 0.615
Co 0.669 0.669 0.000
Tm 0.687 0.679 0.366
Tm 0.687 0.321 0.007
Tm 0.313 0.679 0.993
Tm 0.101 0.816 0.285
Co 0.331 0.331 0.000
Tm 0.795 0.032 0.237
Mg 0.000 0.000 0.000
Tm 0.313 0.321 0.634
Mg 0.000 0.500 0.500
Tm 0.469 0.184 0.285
Co 0.500 0.885 0.385
Tm 0.205 0.968 0.763
Tm 0.899 0.184 0.715
Tm 0.795 0.558 0.763

## Properties
As for the formation energy: -0.171 eV/atom. The calculation puts the total energy at -88.36 eV for the cell shown. The calculation puts the density of states at the Fermi level at 11.128 states/eV/f.u. The offset from the most stable computed form comes out at 0.00 kJ/mol of atoms.

---

(2)
# PaCrGa4

A relaxed structure of PaCrGa4 (GGA-PBE, Alexandria).

a b c (Å): 4.849 6.420 8.084
angles (deg): 113.40 107.47 90.00
Fractional coordinates of all 12 atoms:
Ga 0.838 0.339 0.677
Cr 0.270 0.500 0.000
Ga 0.162 0.661 0.323
Ga 0.610 0.334 0.220
Ga 0.390 0.114 0.780
Pa 0.210 0.210 0.420
Ga 0.610 0.886 0.220
Ga 0.000 0.180 0.000
Cr 0.730 0.500 0.000
Pa 0.790 0.790 0.580
Ga 0.390 0.666 0.780
Ga 0.000 0.820 0.000

## Properties
As for the formation energy: -0.089 eV/atom. The calculation puts the total energy at -63.53 eV for the cell shown. The calculation puts the density of states at the Fermi level at 3.306 states/eV/f.u.

---

(3)
# Ho2CoNi

A relaxed structure of Ho2CoNi (GGA-PBE, Alexandria).

a b c (Å): 3.326 3.326 6.719
angles (deg): 90.00 90.00 90.00
Last column: magnetic moment on the atom in μB.
Fractional coordinates of all 4 atoms:
Ho 0.000 0.000 0.754  -0.09
Ni 0.500 0.500 0.500  -0.02
Co 0.500 0.500 0.000  0.56
Ho 0.000 0.000 0.246  -0.09

## Properties
As for the formation energy: -0.303 eV/atom. The calculation puts the total energy at -23.25 eV for the cell shown. The calculation puts the density of states at the Fermi level at 1.071 states/eV/f.u.

---

(4)
# CaLa2P

A relaxed structure of CaLa2P (GGA-PBE, Alexandria).

a b c (Å): 9.172 9.172 7.207
angles (deg): 50.48 50.48 90.00
Fractional coordinates of all 8 atoms:
Ca 0.000 0.000 0.000
La 0.375 0.453 0.750
P 0.500 0.500 0.000
La 0.547 0.125 0.250
La 0.875 0.797 0.750
La 0.203 0.625 0.250
Ca 0.750 0.250 0.500
P 0.250 0.750 0.500

## Properties
As for the formation energy: -0.451 eV/atom. The calculation puts the total energy at -38.14 eV for the cell shown. The calculation puts the density of states at the Fermi level at 4.830 states/eV/f.u.

---

(5)
# AcNd2Eu

A relaxed structure of AcNd2Eu (GGA-PBE, Alexandria).

a b c (Å): 6.047 6.047 6.047
angles (deg): 60.00 60.00 60.00
Last column: magnetic moment on the atom in μB.
Fractional coordinates of all 4 atoms:
Nd 0.250 0.250 0.250  -0.15
Eu 0.500 0.500 0.500  -6.91
Nd 0.750 0.750 0.750  -0.15
Ac 0.000 0.000 0.000  -0.10

## Properties
As for the formation energy: 0.140 eV/atom. The calculation puts the total energy at -23.36 eV for the cell shown. The calculation puts the density of states at the Fermi level at 7.434 states/eV/f.u. The offset from the most stable computed form comes out at 8.66 kJ/mol of atoms.

---

(6)
# LiSiTc3

A relaxed structure of LiSiTc3 (GGA-PBE, Alexandria).

a b c (Å): 4.444 4.444 4.444
angles (deg): 90.00 90.00 90.00
Fractional coordinates of all 5 atoms:
Tc 0.000 0.500 0.000
Tc 0.000 0.000 0.500
Li 0.500 0.500 0.500
Tc 0.500 0.000 0.000
Si 0.000 0.000 0.000

## Properties
For the uncorrected formation energy, the calculation gives 0.96 eV/atom. The calculation puts the total energy at -33.61 eV for the cell shown. The calculation puts the density of states at the Fermi level at 6.304 states/eV/f.u. The offset from the most stable computed form comes out at 0.00 kJ/mol of atoms.

---

(7)
# Y3TmSc3

A relaxed structure of Y3TmSc3 (GGA-PBE, Alexandria).

a b c (Å): 5.955 5.955 14.066
angles (deg): 77.78 77.78 60.00
Fractional coordinates of all 14 atoms:
Sc 0.532 0.197 0.408
Y 0.264 0.597 0.209
Tm 0.333 0.333 0.000
Sc 0.864 0.532 0.408
Y 0.597 0.930 0.209
Sc 0.468 0.803 0.592
Sc 0.803 0.136 0.592
Y 0.736 0.403 0.791
Tm 0.667 0.667 0.000
Y 0.403 0.070 0.791
Sc 0.197 0.864 0.408
Y 0.930 0.264 0.209
Sc 0.136 0.468 0.592
Y 0.070 0.736 0.791

## Properties
As for the formation energy: 0.168 eV/atom. The calculation puts the total energy at -83.37 eV for the cell shown. The calculation puts the density of states at the Fermi level at 11.354 states/eV/f.u. The offset from the most stable computed form comes out at 13.60 kJ/mol of atoms.

---

(8)
# TbBe2Ga2

A relaxed structure of TbBe2Ga2 (GGA-PBE, Alexandria).

a b c (Å): 3.958 3.958 9.844
angles (deg): 90.00 90.00 90.00
Fractional coordinates of all 10 atoms:
Ga 0.000 0.000 0.500
Be 0.500 0.000 0.639
Tb 0.500 0.000 0.245
Ga 0.000 0.500 0.129
Be 0.000 0.000 0.000
Be 0.500 0.500 0.000
Ga 0.500 0.000 0.871
Be 0.000 0.500 0.361
Ga 0.500 0.500 0.500
Tb 0.000 0.500 0.755

## Properties
As for the formation energy: -0.383 eV/atom. The calculation puts the total energy at -40.10 eV for the cell shown. The calculation puts the density of states at the Fermi level at 0.935 states/eV/f.u.

---

(9)
# Sr2W

A relaxed structure of Sr2W (GGA-PBE, Alexandria).

a b c (Å): 9.068 9.068 6.717
angles (deg): 75.41 75.41 25.20
Fractional coordinates of all 6 atoms:
W 0.764 0.764 0.884
Sr 0.419 0.419 0.798
W 0.236 0.236 0.116
Sr 0.844 0.844 0.321
Sr 0.581 0.581 0.202
Sr 0.156 0.156 0.679

## Properties
As for the formation energy: 0.619 eV/atom. The calculation puts the total energy at -28.92 eV for the cell shown. The calculation puts the density of states at the Fermi level at 3.077 states/eV/f.u. The offset from the most stable computed form comes out at 0.00 kJ/mol of atoms.

---

(10)
# SmEuAlAg

A relaxed structure of SmEuAlAg (GGA-PBE, Alexandria).

a b c (Å): 5.313 5.313 5.313
angles (deg): 60.00 60.00 60.00
Last column: magnetic moment on the atom in μB.
Fractional coordinates of all 4 atoms:
Al 0.250 0.250 0.250  -0.01
Sm 0.500 0.500 0.500  -0.03
Ag 0.750 0.750 0.750  0.00
Eu 0.000 0.000 0.000  6.79

## Properties
As for the formation energy: -0.256 eV/atom. The calculation puts the total energy at -22.61 eV for the cell shown. The calculation puts the density of states at the Fermi level at 8.868 states/eV/f.u.

---

(11)
# Dy2Ho3Al4

A relaxed structure of Dy2Ho3Al4 (GGA-PBE, Alexandria).

a b c (Å): 6.750 8.838 8.538
angles (deg): 90.00 113.29 90.00
Fractional coordinates of all 18 atoms:
Al 0.719 0.750 0.939
Dy 0.608 0.927 0.216
Ho 0.469 0.250 0.438
Ho 0.031 0.750 0.562
Ho 0.969 0.250 0.438
Ho 0.000 0.000 0.000
Al 0.687 0.532 0.374
Al 0.313 0.468 0.626
Al 0.813 0.032 0.626
Dy 0.392 0.073 0.784
Ho 0.500 0.500 0.000
Al 0.281 0.250 0.061
Al 0.219 0.750 0.939
Dy 0.108 0.573 0.216
Ho 0.531 0.750 0.562
Al 0.781 0.250 0.061
Al 0.187 0.968 0.374
Dy 0.892 0.427 0.784

## Properties
As for the formation energy: -0.138 eV/atom. The calculation puts the total energy at -78.30 eV for the cell shown. The calculation puts the density of states at the Fermi level at 6.608 states/eV/f.u.

---

(12)
# PmYPt6

A relaxed structure of PmYPt6 (GGA-PBE, Alexandria).

a b c (Å): 5.340 5.340 5.340
angles (deg): 90.00 90.00 90.00
Fractional coordinates of all 8 atoms:
Pt 0.000 0.500 0.249
Pt 0.751 0.000 0.500
Pm 0.500 0.500 0.500
Y 0.000 0.000 0.000
Pt 0.500 0.751 0.000
Pt 0.500 0.249 0.000
Pt 0.000 0.500 0.751
Pt 0.249 0.000 0.500

## Properties
As for the formation energy: -0.625 eV/atom. The calculation puts the total energy at -52.46 eV for the cell shown. The calculation puts the density of states at the Fermi level at 12.260 states/eV/f.u. The offset from the most stable computed form comes out at 31.42 kJ/mol of atoms.